TbZrBi2O6 (PBE, relaxed); E_form (uncorrected) = -22.4 eV per formula unit; space group = No. 146; raw total energy = -7.31 eV/atom
1.0
3.0384 1.7542 4.7943
-3.0384 1.7542 4.7943
0.0000 -3.5085 4.7943
Tb Zr Bi O
1 1 2 6
direct
0.0000 0.0000 0.0000
0.4828 0.4828 0.4828
0.2455 0.2455 0.2455
0.7089 0.7089 0.7089
0.1462 0.7502 0.3667
0.3015 0.6321 0.8412
0.3667 0.1462 0.7502
0.6321 0.8412 0.3015
0.7502 0.3667 0.1462
0.8412 0.3015 0.6321